1.
The following is a SCAN calculation of a PBEsol-optimized structure of BeAuBr, from Alexandria.

CIF file:
```
data_BeAuBr
_chemical_formula_sum 'Be1 Au1 Br1'
_cell_length_a 3.2951
_cell_length_b 3.2951
_cell_length_c 5.6776
_cell_angle_alpha 90.00
_cell_angle_beta 90.00
_cell_angle_gamma 120.00
_space_group_name_H-M_alt 'P 3 m 1'
_space_group_IT_number 156
_space_group_name_Hall 'P 3 -2"'
loop_
_atom_site_label
_atom_site_type_symbol
_atom_site_fract_x
_atom_site_fract_y
_atom_site_fract_z
Be1 Be 0.0000 0.0000 0.0000
Au1 Au 0.3333 0.6667 0.2538
Br1 Br 0.6667 0.3333 0.7492
```

Output
DOS(E_F) (states/eV per cell): 0.2
Crystal system: trigonal
Formation energy (no corrections) (eV per atom): -0.268

2.
The following is a SCAN calculation of a PBEsol-optimized structure of BeAuBr, from Alexandria.

CIF file:
```
data_BeAuBr
_chemical_formula_sum 'Be2 Au2 Br2'
_cell_length_a 2.868
_cell_length_b 3.313
_cell_length_c 12.341
_cell_angle_alpha 90.00
_cell_angle_beta 90.00
_cell_angle_gamma 90.00
_space_group_name_H-M_alt 'I m m 2'
_space_group_IT_number 44
_space_group_name_Hall 'I 2 -2'
loop_
_atom_site_label
_atom_site_type_symbol
_atom_site_fract_x
_atom_site_fract_y
_atom_site_fract_z
Be1 Be 0.000 0.000 0.000
Au1 Au 0.000 0.000 0.422
Br1 Br 0.000 0.000 0.172
```

Output
DOS(E_F) (states/eV per cell): 1.5
Crystal system: orthorhombic
Formation energy (no corrections) (eV per atom): -0.235

3.
The following is a SCAN calculation of a PBEsol-optimized structure of BeReAu2Br, from Alexandria.

CIF file:
```
data_BeReAu2Br
_chemical_formula_sum 'Be1 Re1 Au2 Br1'
_cell_length_a 4.928
_cell_length_b 4.928
_cell_length_c 4.538
_cell_angle_alpha 90.00
_cell_angle_beta 90.00
_cell_angle_gamma 90.00
_space_group_name_H-M_alt 'P 4/m m m'
_space_group_IT_number 123
_space_group_name_Hall '-P 4 2'
loop_
_atom_site_label
_atom_site_type_symbol
_atom_site_fract_x
_atom_site_fract_y
_atom_site_fract_z
Be1 Be 0.000 0.000 0.000
Re1 Re 0.000 0.000 0.500
Au1 Au 0.000 0.500 0.500
Br1 Br 0.500 0.500 0.000
```

Output
DOS(E_F) (states/eV per cell): 3.6
Crystal system: tetragonal
Formation energy (no corrections) (eV per atom): 1.294

4.
The following is a SCAN calculation of a PBEsol-optimized structure of BeAuC2, from Alexandria.

CIF file:
```
data_BeAuC2
_chemical_formula_sum 'Be4 Au4 C8'
_cell_length_a 4.505
_cell_length_b 4.505
_cell_length_c 8.785
_cell_angle_alpha 90.00
_cell_angle_beta 90.00
_cell_angle_gamma 90.00
_space_group_name_H-M_alt 'I -4 2 d'
_space_group_IT_number 122
_space_group_name_Hall 'I -4 2bw'
loop_
_atom_site_label
_atom_site_type_symbol
_atom_site_fract_x
_atom_site_fract_y
_atom_site_fract_z
Be1 Be 0.000 0.000 0.000
Au1 Au 0.000 0.000 0.500
C1 C 0.206 0.250 0.125
```

Output
DOS(E_F) (states/eV per cell): 5.8
Energy of formation (eV/atom): 1.475
Crystal system: tetragonal

5.
The following is a SCAN calculation of a PBEsol-optimized structure of CaBeAu, from Alexandria.

CIF file:
```
data_CaBeAu
_chemical_formula_sum 'Ca2 Be2 Au2'
_cell_length_a 3.263
_cell_length_b 3.263
_cell_length_c 10.279
_cell_angle_alpha 90.00
_cell_angle_beta 90.00
_cell_angle_gamma 90.00
_space_group_name_H-M_alt 'I 4 m m'
_space_group_IT_number 107
_space_group_name_Hall 'I 4 -2'
loop_
_atom_site_label
_atom_site_type_symbol
_atom_site_fract_x
_atom_site_fract_y
_atom_site_fract_z
Ca1 Ca 0.000 0.000 0.000
Be1 Be 0.000 0.000 0.288
Au1 Au 0.000 0.000 0.709
```

Output
DOS(E_F) (states/eV per cell): 3.0
Energy of formation (eV/atom): -0.385
Crystal system: tetragonal

6.
The following is a SCAN calculation of a PBEsol-optimized structure of Ca2BeAu, from Alexandria.

CIF file:
```
data_Ca2BeAu
_chemical_formula_sum 'Ca8 Be4 Au4'
_cell_length_a 6.787
_cell_length_b 6.787
_cell_length_c 6.787
_cell_angle_alpha 90.00
_cell_angle_beta 90.00
_cell_angle_gamma 90.00
_space_group_name_H-M_alt 'F -4 3 m'
_space_group_IT_number 216
_space_group_name_Hall 'F -4 2 3'
loop_
_atom_site_label
_atom_site_type_symbol
_atom_site_fract_x
_atom_site_fract_y
_atom_site_fract_z
Ca1 Ca 0.000 0.000 0.000
Ca2 Ca 0.250 0.250 0.250
Be1 Be 0.000 0.000 0.500
Au1 Au 0.250 0.250 0.750
```

Output
DOS(E_F) (states/eV per cell): 15.0
Energy of formation (eV/atom): -0.157
Crystal system: cubic

7.
The following is a SCAN calculation of a PBEsol-optimized structure of CaBeAu3, from Alexandria.

CIF file:
```
data_CaBeAu3
_chemical_formula_sum 'Ca1 Be1 Au3'
_cell_length_a 4.512
_cell_length_b 4.512
_cell_length_c 4.512
_cell_angle_alpha 90.00
_cell_angle_beta 90.00
_cell_angle_gamma 90.00
_space_group_name_H-M_alt 'P m -3 m'
_space_group_IT_number 221
_space_group_name_Hall '-P 4 2 3'
loop_
_atom_site_label
_atom_site_type_symbol
_atom_site_fract_x
_atom_site_fract_y
_atom_site_fract_z
Ca1 Ca 0.000 0.000 0.000
Be1 Be 0.500 0.500 0.500
Au1 Au 0.000 0.500 0.500
```

Output
DOS(E_F) (states/eV per cell): 1.3
Energy of formation (eV/atom): -0.587
Crystal system: cubic

8.
The following is a SCAN calculation of a PBEsol-optimized structure of Ca2BeAu, from Alexandria.

CIF file:
```
data_Ca2BeAu
_chemical_formula_sum 'Ca4 Be2 Au2'
_cell_length_a 4.134
_cell_length_b 4.378
_cell_length_c 10.516
_cell_angle_alpha 90.00
_cell_angle_beta 90.00
_cell_angle_gamma 90.00
_space_group_name_H-M_alt 'A m m 2'
_space_group_IT_number 38
_space_group_name_Hall 'A 2 -2'
loop_
_atom_site_label
_atom_site_type_symbol
_atom_site_fract_x
_atom_site_fract_y
_atom_site_fract_z
Ca1 Ca 0.000 0.000 0.000
Ca2 Ca 0.500 0.000 0.293
Be1 Be 0.500 0.000 0.601
Au1 Au 0.000 0.000 0.699
```

Output
DOS(E_F) (states/eV per cell): 4.4
Energy of formation (eV/atom): -0.468
Crystal system: orthorhombic